This record from the Alexandria database describes a crystal of K2AlW relaxed with PBEsol. The functional is SCAN.

D(E_F) in states/eV/atom: 0.860
Theoretical density in Mg/m³: 3.724
Magnetic moment in Bohr magnetons per cell: 3.0
Electronic total energy in eV per atom: -22.679

abc: 2.838 4.440 20.455
angles: 90.00 90.00 90.00
Space group Immm (No. 71)
Symmetry-distinct sites (fractional):
K 0.000 0.000 0.146
Al 0.000 0.500 0.500
W 0.000 0.500 0.000

***

This record from the Alexandria database describes a crystal of Ta2OsRu relaxed with PBEsol. The functional is SCAN.

D(E_F) in states/eV/atom: 0.809
Theoretical density in Mg/m³: 17.364
Polymorph energy (0 for the lowest one) in meV per atom: 0
Magnetic moment in Bohr magnetons per cell: 0.0
Electronic total energy in eV per atom: -60.358

abc: 6.055 6.814 3.028
angles: 90.00 90.00 90.00
Space group Cmmm (No. 65)
Symmetry-distinct sites (fractional):
Ta 0.250 0.250 0.000
Os 0.000 0.000 0.500
Ru 0.000 0.500 0.500

***

This record from the Alexandria database describes a crystal of CdAg4 relaxed with PBEsol. The functional is SCAN.

D(E_F) in states/eV/atom: 0.265
Theoretical density in Mg/m³: 10.591
Polymorph energy (0 for the lowest one) in meV per atom: 0
Magnetic moment in Bohr magnetons per cell: 0.0
Electronic total energy in eV per atom: -31.216

abc: 6.439 6.439 4.113
angles: 90.00 90.00 90.00
Space group I4/m (No. 87)
Symmetry-distinct sites (fractional):
Cd 0.000 0.000 0.000
Ag 0.099 0.302 0.500

***

This record from the Alexandria database describes a crystal of TlHg2Au relaxed with PBEsol. The functional is SCAN.

D(E_F) in states/eV/atom: 0.250
Theoretical density in Mg/m³: 14.090
Polymorph energy (0 for the lowest one) in meV per atom: 8
Magnetic moment in Bohr magnetons per cell: 0.0
Electronic total energy in eV per atom: -69.442

abc: 3.850 4.569 5.596
angles: 90.00 106.07 90.00
Space group P2/m (No. 10)
Symmetry-distinct sites (fractional):
Tl 0.000 0.000 0.000
Hg 0.310 0.500 0.730
Au 0.500 0.000 0.500

***

This record from the Alexandria database describes a crystal of Zn2InBr relaxed with PBEsol. The functional is SCAN.

D(E_F) in states/eV/atom: 0.209
Theoretical density in Mg/m³: 5.797
Polymorph energy (0 for the lowest one) in meV per atom: 134
Magnetic moment in Bohr magnetons per cell: 0.0
Electronic total energy in eV per atom: -19.818
Formation energy (no corrections) in kJ/mol of formula units: 58

abc: 4.189 4.189 10.629
angles: 90.00 90.00 90.00
Space group I4/mmm (No. 139)
Symmetry-distinct sites (fractional):
Zn 0.000 0.500 0.250
In 0.000 0.000 0.000
Br 0.000 0.000 0.500

***

This record from the Alexandria database describes a crystal of ZrAlCo relaxed with PBEsol. The functional is SCAN.

D(E_F) in states/eV/atom: 0.737
Theoretical density in Mg/m³: 6.549
Magnetic moment in Bohr magnetons per cell: 1.6
Electronic total energy in eV per atom: -19.045

abc: 8.019 5.134 8.728
angles: 90.00 90.00 90.00
Space group Amm2 (No. 38)
Symmetry-distinct sites (fractional):
Zr 0.172 0.000 0.000
Zr 0.288 0.000 0.666
Al 0.237 0.000 0.324
Al 0.500 0.244 0.921
Co 0.000 0.000 0.499
Co 0.000 0.242 0.744
Co 0.500 0.000 0.165

***

This record from the Alexandria database describes a crystal of LaRe2Te relaxed with PBEsol. The functional is SCAN.

D(E_F) in states/eV/atom: 1.047
Theoretical density in Mg/m³: 13.570
Magnetic moment in Bohr magnetons per cell: 0.0
Electronic total energy in eV per atom: -54.630
Formation energy (no corrections) in kJ/mol of formula units: 389

abc: 3.1373 3.1373 27.5177
angles: 90.00 90.00 120.00
Space group R-3m (No. 166, hexagonal axes)
Symmetry-distinct sites (fractional):
La 0.0000 0.0000 0.0000
Re 0.0000 0.0000 0.2390
Te 0.0000 0.0000 0.5000

***

This record from the Alexandria database describes a crystal of LaYBeIn2 relaxed with PBEsol. The functional is SCAN.

D(E_F) in states/eV/atom: 0.513
Theoretical density in Mg/m³: 6.331
Magnetic moment in Bohr magnetons per cell: 0.8
Electronic total energy in eV per atom: -28.493

abc: 4.834 4.834 5.237
angles: 90.00 90.00 90.00
Space group P4/mmm (No. 123)
Symmetry-distinct sites (fractional):
La 0.000 0.000 0.000
Y 0.500 0.500 0.000
Be 0.000 0.000 0.500
In 0.000 0.500 0.500

***

Question: Which of these has the lowest D(E_F)?
Answer: Zn2InBr

***

Question: Which of these has the highest D(E_F)?
Answer: LaRe2Te